Record 1
10
Lattice="-0.9247 -1.2981 -6.8161 0.8205 -6.4986 -2.4686 -6.1988 -3.7805 -2.0345" Properties=species:S:1:pos:R:3 comment="Na2ScGaCl6, relaxed, DFT PBE" n_ef_per_ev_atom=0.00 crystal_system=trigonal raw_formation_energy_kj_per_mol_atoms=-165.0 total_magnetization_mub_per_fu=0.00 pbc="T T T"
Cl -5.3319 -4.6672 -6.6467
Ga -3.6243 -8.4725 -8.6810
Sc -0.1719 -2.6254 -3.0710
Cl -0.8707 -7.4503 -4.4875
Na -2.7253 -5.7068 -5.7329
Na -6.0457 -3.7509 -2.0606
Cl -1.7640 -3.1713 -4.9102
Cl -1.8669 -5.7949 -8.4313
Cl -4.5896 -7.9752 -6.0226
Cl -4.5835 -5.6907 -3.4409

***

Record 2
4
Lattice="-0.0288 4.1836 -1.6551 0.7157 0.6881 -4.3883 -3.3795 1.3492 -2.6460" Properties=species:S:1:pos:R:3 comment="ZrTaFeRu, relaxed, DFT PBE" delta_e_f_ev_per_atom=-0.30 e_above_lowest_polymorph_mev_per_atom=38 n_ef_per_ev_atom=0.75 crystal_system=cubic total_magnetization_mub_per_fu=0.80 pbc="T T T"
Ru -2.0194 4.6657 -6.5171
Zr -1.3463 3.1105 -4.3447
Fe -0.6731 1.5552 -2.1724
Ta 0.0000 0.0000 0.0000

***

Record 3
12
Lattice="-5.6170 0.2409 5.0737 -0.4774 -4.6458 -5.9615 5.1775 -3.6348 4.0210" Properties=species:S:1:pos:R:3 comment="Li3CeEr2Te6, relaxed, DFT PBE" n_ef_per_ev_atom=0.70 crystal_system=monoclinic raw_formation_energy_kj_per_mol_atoms=-121.3 total_magnetization_mub_per_fu=1.00 pbc="T T T"
Te -3.1919 -4.2037 0.3749
Er -3.9040 -1.3878 1.3957
Te 2.2749 -3.8360 2.7582
Te 0.6410 -2.9019 -1.0948
Te -1.1246 -1.2232 2.6962
Li -0.4585 -4.0199 1.5666
Li -2.1737 -2.3890 5.2493
Er -2.1904 -3.0171 -2.2835
Te 0.2077 -6.8166 0.4370
Te -1.5579 -5.1378 4.2279
Li 1.2568 -5.6507 -2.1162
Ce 0.0000 0.0000 0.0000

***

Record 4
12
Lattice="5.2254 0.0045 -1.6079 -0.8334 7.0584 -2.6897 0.0421 -0.4922 9.4309" Properties=species:S:1:pos:R:3 comment="SrY5Tl6, relaxed, DFT PBE" delta_e_f_ev_per_atom=-0.36 n_ef_per_ev_atom=0.78 crystal_system=orthorhombic total_magnetization_mub_per_fu=0.00 pbc="T T T"
Tl 0.5481 2.8465 1.7888
Y 2.9515 4.5574 0.3094
Tl 4.2916 0.2893 4.6533
Y 1.4826 2.0133 4.8239
Tl 2.3930 1.8634 -1.5132
Sr 0.0000 0.0000 0.0000
Tl 0.1425 6.2813 0.4800
Y 3.3368 0.9856 1.5522
Tl 1.9991 5.1995 -2.7844
Y -0.4167 3.5292 -1.3449
Tl 3.8860 3.7241 3.3445
Y 1.0973 5.5851 3.5811

***

Record 5
5
Lattice="5.4371 0.0000 0.0000 0.0000 5.4371 0.0000 0.0000 0.0000 5.4371" Properties=species:S:1:pos:R:3 comment="Na3ZnTe, relaxed, DFT PBE" e_above_lowest_polymorph_mev_per_atom=201 n_ef_per_ev_atom=0.87 crystal_system=cubic raw_formation_energy_kj_per_mol_atoms=-3.6 total_magnetization_mub_per_fu=0.00 pbc="T T T"
Na 0.0000 2.7185 0.0000
Zn 0.0000 0.0000 0.0000
Na 2.7185 0.0000 0.0000
Na 0.0000 0.0000 2.7185
Te 2.7185 2.7185 2.7185

***

Record 6
4
Lattice="-0.3839 -0.2197 4.4621 -3.7010 -1.7287 1.8494 2.3072 -8.5845 2.0287" Properties=species:S:1:pos:R:3 comment="NaGaBr2, relaxed, DFT PBE" e_above_lowest_polymorph_mev_per_atom=223 crystal_system=trigonal raw_formation_energy_kj_per_mol_atoms=-81.1 total_magnetization_mub_per_fu=0.00 pbc="T T T"
Br -2.9218 -4.4642 6.2877
Br 1.1440 -6.0687 2.0525
Na -0.8889 -5.2665 4.1701
Ga 0.0000 0.0000 0.0000

***

Record 7
4
Lattice="-0.4153 1.3329 -4.8079 -3.2393 -0.0828 0.2569 -2.4045 4.6173 1.4878" Properties=species:S:1:pos:R:3 comment="MnAl2Br, relaxed, DFT PBE" e_above_lowest_polymorph_mev_per_atom=264 n_ef_per_ev_atom=0.52 crystal_system=monoclinic raw_formation_energy_kj_per_mol_atoms=29.7 total_magnetization_mub_per_fu=3.52 pbc="T T T"
Al -5.1147 4.4417 1.6732
Br -1.6186 1.8001 -1.9678
Mn -4.4405 4.0674 -1.0955
Al -3.3510 2.3601 0.9438

***

Record 8
4
Lattice="4.5180 0.0000 0.0000 0.0000 3.6722 0.0112 0.0000 1.8155 5.3033" Properties=species:S:1:pos:R:3 comment="In2ReSb, relaxed, DFT PBE" n_ef_per_ev_atom=0.74 crystal_system=orthorhombic raw_formation_energy_kj_per_mol_atoms=46.0 total_magnetization_mub_per_fu=0.00 pbc="T T T"
Sb 2.2590 3.4274 4.0386
Re 0.0000 3.4331 2.5779
In 2.2590 1.5979 1.6467
In 0.0000 5.2607 5.0229